No. 1
A plane-wave DFT calculation with PBE was carried out for a geometry-optimized RbNiMo3 structure.

## Properties
density of states at the Fermi level = 5.7 states/eV/f.u.
crystal system = cubic
energy relative to the lowest polymorph listed for this composition = 0 kJ/mol of formula units
space group = Pm-3m (221)

Lattice parameters (Å, degrees): 4.761 4.761 4.761 90.00 90.00 90.00
Last column: magnetic moment on the atom in μB.
Element x y z (fractional)
Rb 0.500 0.500 0.500  0.08
Mo 0.000 0.000 0.500  1.24
Mo 0.500 0.000 0.000  1.21
Mo 0.000 0.500 0.000  1.32
Ni 0.000 0.000 0.000  0.27

---

No. 2
A plane-wave DFT calculation with PBE was carried out for a geometry-optimized Ce2U2Ni15 structure.

## Properties
density of states at the Fermi level = 20.8 states/eV/f.u.
uncorrected energy = -6.638 eV per atom
crystal system = trigonal
space group = R-3m (166)

Lattice parameters (Å, degrees): 6.467 6.467 6.467 81.39 81.39 81.39
Last column: magnetic moment on the atom in μB.
Element x y z (fractional)
Ni 0.657 0.657 0.163  0.00
Ni 0.682 0.318 0.000  0.05
Ni 0.318 0.000 0.682  0.05
Ni 0.343 0.837 0.343  0.00
Ni 0.343 0.343 0.837  0.00
Ni 0.000 0.682 0.318  0.05
Ni 0.682 0.000 0.318  0.05
Ni 0.000 0.000 0.500  -0.02
Ni 0.657 0.163 0.657  0.00
Ni 0.500 0.000 0.000  -0.02
Ni 0.000 0.500 0.000  -0.02
Ni 0.163 0.657 0.657  0.00
Ni 0.000 0.318 0.682  0.05
Ni 0.318 0.682 0.000  0.05
Ni 0.837 0.343 0.343  0.00
U 0.902 0.902 0.902  0.94
U 0.098 0.098 0.098  0.94
Ce 0.644 0.644 0.644  0.04
Ce 0.356 0.356 0.356  0.04

---

No. 3
A plane-wave DFT calculation with PBE was carried out for a geometry-optimized Mg3BiH3 structure.

## Properties
density of states at the Fermi level = 0.9 states/eV/f.u.
uncorrected energy = -2.773 eV per atom
crystal system = trigonal
space group = R-3 (148)

Lattice parameters (Å, degrees): 6.992 6.992 6.973 59.91 59.91 60.00
Element x y z (fractional)
Mg 0.079 0.813 0.709
Mg 0.601 0.921 0.291
Mg 0.187 0.601 0.291
Mg 0.921 0.187 0.291
Mg 0.399 0.079 0.709
Mg 0.813 0.399 0.709
H 0.344 0.913 0.585
H 0.843 0.656 0.415
H 0.913 0.157 0.585
H 0.157 0.344 0.585
H 0.087 0.843 0.415
H 0.656 0.087 0.415
Bi 0.341 0.341 0.976
Bi 0.659 0.659 0.024

---

Look up the density of states at the Fermi level of the first one. 5.7 states/eV/f.u.

---

Look up the density of states at the Fermi level of the second one. 20.8 states/eV/f.u.

---

What is the density of states at the Fermi level in the first record? 5.7 states/eV/f.u.